## V2CF2 (PBE with a Hubbard U)

Data for a relaxed structure of V2CF2.

Cell: 5.4641 5.4641 3.9028 Å, 90.00 90.00 90.00°
Last column: nearest neighbours and their distance in Å.
Space group P4/mbm (No. 127)
Inequivalent atoms, fractional coordinates:
V 0.1770 0.3230 0.0000  2 F 1.95, 2 C 2.01
C 0.0000 0.0000 0.0000  4 V 2.01
F 0.1677 0.3323 0.5000  2 V 1.95

Total magnetization   0.001 μB per formula unit

## VCF2 (PBE with a Hubbard U)

Data for a relaxed structure of VCF2.

Cell: 3.2171 3.2171 14.6488 Å, 90.00 90.00 90.00°
Last column: nearest neighbours and their distance in Å.
Space group I-42d (No. 122)
Inequivalent atoms, fractional coordinates:
V 0.0000 0.0000 0.0000  4 F 2.14, 4 C 2.27
C 0.0000 0.0000 0.5000  4 F 2.17, 4 V 2.27
F 0.2357 0.2500 0.1250  2 V 2.14, 2 C 2.17, 4 F 2.21-2.34

Total magnetization   1.080 μB per formula unit

## VCF2 (PBE with a Hubbard U)

Data for a relaxed structure of VCF2.

Cell: 2.7701 2.7701 27.8002 Å, 90.00 90.00 120.00°
Last column: nearest neighbours and their distance in Å.
Space group R-3m (No. 166, hexagonal axes)
Inequivalent atoms, fractional coordinates:
V 0.0000 0.0000 0.0000  2 F 1.77
C 0.0000 0.0000 0.5000  6 C 2.77
F 0.0000 0.0000 0.0635  1 V 1.77

Total magnetization   1.720 μB per formula unit

Computed values of energy above the most stable polymorph in this dataset (unit: meV per atom) for the preceding records, in sequence: 0.0; 0.0; 633.7.